No. 1
The following is a DFT calculation (PBE) of an optimized crystal structure of Ho3ErPd4.

Geometry as CIF:
```
data_Ho3ErPd4
_chemical_formula_sum 'Ho3 Er1 Pd4'
_symmetry_space_group_name_H-M 'P 1 m 1'
_symmetry_Int_Tables_number 6
_cell_length_a 5.5803
_cell_length_b 4.5389
_cell_length_c 6.8856
_cell_angle_alpha 90.00
_cell_angle_beta 90.10
_cell_angle_gamma 90.00
loop_
_symmetry_equiv_pos_as_xyz
'x,y,z'
'x,-y,z'
loop_
_atom_site_label
_atom_site_fract_x
_atom_site_fract_y
_atom_site_fract_z
_atom_site_occupancy
Ho1 0.0000 0.0000 0.0000 1
Ho2 0.2131 0.0000 0.4997 1
Ho3 0.5003 0.5000 0.8648 1
Er1 0.7134 0.5000 0.3646 1
Pd1 0.0110 0.5000 0.7236 1
Pd2 0.2020 0.5000 0.2248 1
Pd3 0.5123 0.0000 0.1419 1
Pd4 0.7019 0.0000 0.6386 1
```

Output
The calculation puts the calculated volume at 21.80 A^3/atom. As for the crystal system: monoclinic. The calculation puts the final energy at -5.82 eV per atom. The formation energy comes out at -7.57 eV per formula unit.

=====

No. 2
The following is a DFT calculation (PBE) of an optimized crystal structure of RbBaPm.

Geometry as CIF:
```
data_RbBaPm
_chemical_formula_sum 'Rb4 Ba4 Pm4'
_symmetry_space_group_name_H-M 'F -4 3 m'
_symmetry_Int_Tables_number 216
_symmetry_space_group_name_Hall 'F -4 2 3'
_cell_length_a 9.3523
_cell_length_b 9.3523
_cell_length_c 9.3523
_cell_angle_alpha 90.00
_cell_angle_beta 90.00
_cell_angle_gamma 90.00
loop_
_atom_site_label
_atom_site_fract_x
_atom_site_fract_y
_atom_site_fract_z
_atom_site_occupancy
Rb1 0.0000 0.0000 0.0000 1
Ba1 0.0000 0.0000 0.5000 1
Pm1 0.2500 0.2500 0.7500 1
```

Output
The calculation puts the calculated volume at 68.17 A^3/atom. As for the crystal system: cubic. The calculation puts the final energy at -1.62 eV per atom. The energy above the lowest structure with this stoichiometry is 0.000 eV per atom.

=====

No. 3
The following is a DFT calculation (PBE) of an optimized crystal structure of HfMg2B.

Geometry as CIF:
```
data_HfMg2B
_chemical_formula_sum 'Hf4 Mg8 B4'
_symmetry_space_group_name_H-M 'F -4 3 m'
_symmetry_Int_Tables_number 216
_symmetry_space_group_name_Hall 'F -4 2 3'
_cell_length_a 6.3995
_cell_length_b 6.3995
_cell_length_c 6.3995
_cell_angle_alpha 90.00
_cell_angle_beta 90.00
_cell_angle_gamma 90.00
loop_
_atom_site_label
_atom_site_fract_x
_atom_site_fract_y
_atom_site_fract_z
_atom_site_occupancy
Hf1 0.0000 0.0000 0.0000 1
Mg1 0.0000 0.0000 0.5000 1
Mg2 0.2500 0.2500 0.2500 1
B1 0.2500 0.2500 0.7500 1
```

Output
The calculation puts the calculated volume at 16.38 A^3/atom. As for the crystal system: cubic. The calculation puts the final energy at -4.29 eV per atom.

=====

No. 4
The following is a DFT calculation (PBE) of an optimized crystal structure of InHgPO.

Geometry as CIF:
```
data_InHgPO
_chemical_formula_sum 'In2 Hg2 P2 O2'
_symmetry_space_group_name_H-M 'P 4/n m m'
_symmetry_Int_Tables_number 129
_cell_length_a 4.4926
_cell_length_b 4.4926
_cell_length_c 9.4564
_cell_angle_alpha 90.00
_cell_angle_beta 90.00
_cell_angle_gamma 90.00
loop_
_symmetry_equiv_pos_as_xyz
'x,y,z'
'-x,-y,-z'
'-y+1/2,x,z'
'y+1/2,-x,-z'
'-x+1/2,-y+1/2,z'
'x+1/2,y+1/2,-z'
'y,-x+1/2,z'
'-y,x+1/2,-z'
'x+1/2,-y,-z'
'-x+1/2,y,z'
'-y,-x,-z'
'y,x,z'
'-x,y+1/2,-z'
'x,-y+1/2,z'
'y+1/2,x+1/2,-z'
'-y+1/2,-x+1/2,z'
loop_
_atom_site_label
_atom_site_fract_x
_atom_site_fract_y
_atom_site_fract_z
_atom_site_occupancy
In1 0.2500 0.7500 0.0000 1
Hg1 0.2500 0.2500 0.4365 1
P1 0.2500 0.2500 0.1527 1
O1 0.2500 0.7500 0.5000 1
```

Output
The calculation puts the calculated volume at 23.86 A^3/atom. As for the crystal system: tetragonal. The calculation puts the final energy at -3.31 eV per atom. The energy above the lowest structure with this stoichiometry is 0.443 eV per atom.

=====

What is the calculated volume in the fourth record? 23.86 A^3/atom